{"formula": "PPbSe2", "functional": "SCAN", "state": "PBEsol geometry", "cell": [[-3.292, 0.320, -1.513], [-1.308, -2.673, -2.092], [-4.750, -4.134, 5.088]], "species": ["Se", "P", "Pb", "Se"], "frac_coords": [[0.731, 0.731, 0.808], [0.000, 0.000, 0.000], [0.500, 0.500, 0.500], [0.269, 0.269, 0.192]], "spacegroup": "R-3m", "final_energy_ev_per_fu": -126.1, "relative_energy_ev_per_atom": 0.000, "raw_formation_energy_ev_per_fu": 0.2, "crystal_system": "trigonal"}